Entry 1:
## K2NaF2 (SCAN)

Data for K2NaF2 at its PBEsol-relaxed geometry.

Values from the calculation:
uncorrected formation energy: -2.0299 eV/atom
calculated density: 1.5 g/cm³
space-group type: I4/mmm, No. 139

Cell: 4.813 4.813 7.551 Å, 108.58 108.58 90.00°
Positions (direct):
Na (0.000, 0.000, 0.000)
K (0.305, 0.305, 0.611)
K (0.695, 0.695, 0.389)
F (0.250, 0.750, 0.500)
F (0.750, 0.250, 0.500)

Entry 2:
## K2NaNdF6 (SCAN)

Data for K2NaNdF6 at its PBEsol-relaxed geometry.

Values from the calculation:
uncorrected formation energy: -3.4236 eV/atom
calculated density: 3.3 g/cm³
space-group type: Fm-3m, No. 225

Cell: 6.317 6.317 6.317 Å, 60.00 60.00 60.00°
Positions (direct):
Na (0.500, 0.500, 0.500)
K (0.750, 0.750, 0.750)
K (0.250, 0.250, 0.250)
Nd (0.000, 0.000, 0.000)
F (0.251, 0.749, 0.251)
F (0.251, 0.749, 0.749)
F (0.749, 0.251, 0.251)
F (0.749, 0.749, 0.251)
F (0.749, 0.251, 0.749)
F (0.251, 0.251, 0.749)

Entry 3:
## K2NaNiF6 (SCAN)

Data for K2NaNiF6 at its PBEsol-relaxed geometry.

Values from the calculation:
uncorrected formation energy: -2.6789 eV/atom
calculated density: 3.4 g/cm³
space-group type: Fm-3m, No. 225

Cell: 5.765 5.765 5.765 Å, 60.00 60.00 60.00°
Positions (direct):
K (0.250, 0.250, 0.250)
K (0.750, 0.750, 0.750)
Na (0.500, 0.500, 0.500)
Ni (0.000, 0.000, 0.000)
F (0.229, 0.771, 0.229)
F (0.771, 0.771, 0.229)
F (0.229, 0.229, 0.771)
F (0.771, 0.229, 0.229)
F (0.771, 0.229, 0.771)
F (0.229, 0.771, 0.771)

Entry 4:
## K2NaPrF6 (SCAN)

Data for K2NaPrF6 at its PBEsol-relaxed geometry.

Values from the calculation:
uncorrected formation energy: -3.4017 eV/atom
calculated density: 3.3 g/cm³
space-group type: Fm-3m, No. 225

Cell: 6.348 6.348 6.348 Å, 60.00 60.00 60.00°
Positions (direct):
Pr (0.000, 0.000, 0.000)
Na (0.500, 0.500, 0.500)
K (0.750, 0.750, 0.750)
K (0.250, 0.250, 0.250)
F (0.252, 0.748, 0.252)
F (0.252, 0.748, 0.748)
F (0.748, 0.252, 0.252)
F (0.748, 0.748, 0.252)
F (0.748, 0.252, 0.748)
F (0.252, 0.252, 0.748)

Entry 5:
## KNaSiF6 (SCAN)

Data for KNaSiF6 at its PBEsol-relaxed geometry.

Values from the calculation:
uncorrected formation energy: -3.3165 eV/atom
calculated density: 2.8 g/cm³
space-group type: Pnma, No. 62

Cell: 5.417 9.350 9.654 Å, 90.00 90.00 90.00°
Positions (direct):
K (0.250, 0.019, 0.326)
K (0.750, 0.481, 0.826)
K (0.750, 0.981, 0.674)
K (0.250, 0.519, 0.174)
Na (0.250, 0.876, 0.947)
Na (0.250, 0.376, 0.553)
Na (0.750, 0.624, 0.447)
Na (0.750, 0.124, 0.053)
Si (0.250, 0.730, 0.578)
Si (0.750, 0.770, 0.078)
Si (0.250, 0.230, 0.922)
Si (0.750, 0.270, 0.422)
F (0.474, 0.826, 0.496)
F (0.026, 0.628, 0.652)
F (0.250, 0.846, 0.713)
F (0.026, 0.326, 0.004)
F (0.974, 0.372, 0.348)
F (0.026, 0.826, 0.496)
F (0.750, 0.389, 0.560)
F (0.974, 0.174, 0.504)
F (0.750, 0.154, 0.287)
F (0.750, 0.654, 0.213)
F (0.526, 0.872, 0.152)
F (0.474, 0.326, 0.004)
F (0.250, 0.346, 0.787)
F (0.974, 0.872, 0.152)
F (0.526, 0.174, 0.504)
F (0.250, 0.111, 0.060)
F (0.974, 0.674, 0.996)
F (0.526, 0.372, 0.348)
F (0.526, 0.674, 0.996)
F (0.026, 0.128, 0.848)
F (0.750, 0.889, 0.940)
F (0.250, 0.611, 0.440)
F (0.474, 0.128, 0.848)
F (0.474, 0.628, 0.652)

Entry 6:
## K2NaTiF6 (SCAN)

Data for K2NaTiF6 at its PBEsol-relaxed geometry.

Values from the calculation:
uncorrected formation energy: -3.2756 eV/atom
calculated density: 3.0 g/cm³
space-group type: Fm-3m, No. 225

Cell: 5.912 5.912 5.912 Å, 60.00 60.00 60.00°
Positions (direct):
K (0.250, 0.250, 0.250)
K (0.750, 0.750, 0.750)
Na (0.500, 0.500, 0.500)
Ti (0.000, 0.000, 0.000)
F (0.765, 0.765, 0.235)
F (0.235, 0.765, 0.765)
F (0.235, 0.235, 0.765)
F (0.765, 0.235, 0.765)
F (0.235, 0.765, 0.235)
F (0.765, 0.235, 0.235)

Entry 7:
## K2NaTlF6 (SCAN)

Data for K2NaTlF6 at its PBEsol-relaxed geometry.

Values from the calculation:
uncorrected formation energy: -2.5776 eV/atom
calculated density: 4.2 g/cm³
space-group type: Fm-3m, No. 225

Cell: 6.166 6.166 6.166 Å, 60.00 60.00 60.00°
Positions (direct):
K (0.750, 0.750, 0.750)
K (0.250, 0.250, 0.250)
Na (0.500, 0.500, 0.500)
Tl (0.000, 0.000, 0.000)
F (0.753, 0.247, 0.247)
F (0.753, 0.753, 0.247)
F (0.247, 0.753, 0.753)
F (0.753, 0.247, 0.753)
F (0.247, 0.753, 0.247)
F (0.247, 0.247, 0.753)

Entry 8:
## K2NaVF6 (SCAN)

Data for K2NaVF6 at its PBEsol-relaxed geometry.

Values from the calculation:
uncorrected formation energy: -3.1530 eV/atom
calculated density: 3.1 g/cm³
space-group type: Fm-3m, No. 225

Cell: 5.863 5.863 5.863 Å, 60.00 60.00 60.00°
Positions (direct):
K (0.750, 0.750, 0.750)
K (0.250, 0.250, 0.250)
Na (0.500, 0.500, 0.500)
V (0.000, 0.000, 0.000)
F (0.767, 0.233, 0.233)
F (0.233, 0.233, 0.767)
F (0.767, 0.233, 0.767)
F (0.767, 0.767, 0.233)
F (0.233, 0.767, 0.233)
F (0.233, 0.767, 0.767)